This record from the Alexandria database describes a relaxed Tl2MoP crystal. The functional is PBE.

Summary:
DOS(E_F): 3.1 states/eV per cell
symmetry: P2/m, No. 10
DFT total energy: -18.31 eV for the cell shown

Cell: 3.5578 5.2209 4.8237 Å, 90.00 92.23 90.00°
Last column: nearest neighbours and their distance in Å.
Atoms (fractional coordinates):
Tl  0.2244  0.0000  0.2526  4 Tl 2.86-3.19, 2 Mo 3.02, 2 P 3.06
Tl  0.7756  0.0000  0.7474  4 Tl 2.86-3.19, 2 Mo 3.02, 2 P 3.06
Mo  0.5000  0.5000  0.5000  2 P 2.41
P  0.5000  0.5000  0.0000  2 Mo 2.41